1.
SrAcSiPt, relaxed, DFT PBE; space-group type = No. 216; uncorrected formation energy = -2.252 eV per formula unit; DOS at the Fermi energy = 3.363 states/eV/f.u.; calculated volume = 27.10 Å³/atom
1.0
7.568 0.000 0.000
0.000 7.568 0.000
0.000 0.000 7.568
Sr Ac Si Pt
4 4 4 4
Direct
0.000 0.000 0.000
0.000 0.500 0.500
0.500 0.000 0.500
0.500 0.500 0.000
0.000 0.000 0.500
0.000 0.500 0.000
0.500 0.000 0.000
0.500 0.500 0.500
0.250 0.250 0.250
0.250 0.750 0.750
0.750 0.250 0.750
0.750 0.750 0.250
0.250 0.250 0.750
0.250 0.750 0.250
0.750 0.250 0.250
0.750 0.750 0.750

2.
Ti6In2Ga, relaxed, DFT PBE; space-group type = No. 12; offset from the most stable computed form = 0.0 meV/atom; DOS at the Fermi energy = 10.749 states/eV/f.u.; calculated volume = 17.77 Å³/atom
1.0
7.006 -4.044 0.000
7.006 4.044 0.000
-0.004 0.000 2.822
Ti In Ga
6 2 1
Direct
0.174 0.500 0.002
0.174 0.826 0.000
0.500 0.174 0.002
0.500 0.826 0.998
0.826 0.174 0.000
0.826 0.500 0.998
0.167 0.167 0.500
0.833 0.833 0.500
0.500 0.500 0.500

3.
CaTmTh2Bi4, relaxed, DFT PBE; energy = -5.316 eV/atom; space-group type = No. 10; DOS at the Fermi energy = 1.946 states/eV/f.u.; calculated volume = 33.46 Å³/atom
1.0
7.840 0.000 0.000
0.000 4.570 0.000
-2.655 0.000 7.471
Ca Tm Th Bi
1 1 2 4
Direct
0.000 0.000 0.000
0.000 0.500 0.500
0.500 0.000 0.500
0.500 0.500 0.000
0.241 0.000 0.744
0.245 0.500 0.252
0.755 0.500 0.748
0.759 0.000 0.256

4.
Mn2MoP, relaxed, DFT PBE; energy = -8.772 eV/atom; space-group type = No. 44; DOS at the Fermi energy = 2.766 states/eV/f.u.; calculated volume = 12.56 Å³/atom
1.0
3.155 0.000 0.000
0.000 4.107 0.000
0.000 0.000 7.750
Mn Mo P
4 2 2
Direct
0.000 0.000 0.000
0.000 0.500 0.236
0.500 0.000 0.736
0.500 0.500 0.500
0.000 0.500 0.769
0.500 0.000 0.269
0.000 0.000 0.520
0.500 0.500 0.020